Computed, not measured: an optimized crystal structure of ZrF3 at the PBE-GGA level of DFT.

Cell: 5.393 5.393 5.393 Å, 56.01 56.01 56.01°
Atoms (fractional coordinates):
Zr: 0.000 0.000 0.000
Zr: 0.500 0.500 0.500
F: 0.052 0.750 0.448
F: 0.250 0.552 0.948
F: 0.448 0.052 0.750
F: 0.552 0.948 0.250
F: 0.750 0.448 0.052
F: 0.948 0.250 0.552

The space group is R-3c (167). For the mass density, the calculation gives 4.9 g/cm³. The value obtained for the raw total energy is -6.659 eV per atom.

---

Computed, not measured: an optimized crystal structure of Zr2F at the PBE-GGA level of DFT.

Cell: 5.633 5.633 5.633 Å, 60.00 60.00 60.00°
Atoms (fractional coordinates):
Zr: 0.000 0.000 0.000
Zr: 0.000 0.000 0.500
Zr: 0.000 0.500 0.000
Zr: 0.500 0.000 0.000
F: 0.375 0.375 0.375
F: 0.625 0.625 0.625

The space group is Fd-3m (227). For the mass density, the calculation gives 5.3 g/cm³. The value obtained for the raw total energy is -5.995 eV per atom.

---

Computed, not measured: an optimized crystal structure of Zr5F at the PBE-GGA level of DFT.

Cell: 5.753 5.753 5.163 Å, 90.00 90.00 120.00°
Atoms (fractional coordinates):
Zr: 0.000 0.500 0.000
Zr: 0.333 0.667 0.500
Zr: 0.500 0.000 0.000
Zr: 0.500 0.500 0.000
Zr: 0.667 0.333 0.500
F: 0.000 0.000 0.500

The space group is P6/mmm (191). For the mass density, the calculation gives 5.3 g/cm³. The value obtained for the raw total energy is -6.845 eV per atom.

---

Computed, not measured: an optimized crystal structure of GaFe at the PBE-GGA level of DFT.

Cell: 7.635 7.635 7.635 Å, 109.29 109.29 109.29°
Atoms (fractional coordinates):
Ga: 0.000 0.000 0.000
Ga: 0.112 0.500 0.888
Ga: 0.112 0.888 0.500
Ga: 0.193 0.541 0.541
Ga: 0.459 0.459 0.807
Ga: 0.459 0.807 0.459
Ga: 0.500 0.112 0.888
Ga: 0.500 0.888 0.112
Ga: 0.541 0.193 0.541
Ga: 0.541 0.541 0.193
Ga: 0.807 0.459 0.459
Ga: 0.888 0.112 0.500
Ga: 0.888 0.500 0.112
Fe: 0.150 0.801 0.801
Fe: 0.177 0.177 0.396
Fe: 0.177 0.396 0.177
Fe: 0.199 0.199 0.850
Fe: 0.199 0.850 0.199
Fe: 0.396 0.177 0.177
Fe: 0.500 0.500 0.500
Fe: 0.604 0.823 0.823
Fe: 0.801 0.150 0.801
Fe: 0.801 0.801 0.150
Fe: 0.823 0.604 0.823
Fe: 0.823 0.823 0.604
Fe: 0.850 0.199 0.199

The space group is R-3m (166). For the mass density, the calculation gives 7.9 g/cm³. The value obtained for the raw total energy is -5.824 eV per atom.

---

Computed, not measured: an optimized crystal structure of Ga3Fe2 at the PBE-GGA level of DFT.

Cell: 6.861 6.861 6.861 Å, 44.99 44.99 44.99°
Atoms (fractional coordinates):
Ga: 0.175 0.750 0.325
Ga: 0.250 0.675 0.825
Ga: 0.325 0.175 0.750
Ga: 0.675 0.825 0.250
Ga: 0.750 0.325 0.175
Ga: 0.825 0.250 0.675
Fe: 0.185 0.185 0.185
Fe: 0.315 0.315 0.315
Fe: 0.685 0.685 0.685
Fe: 0.815 0.815 0.815

The space group is R-3c (167). For the mass density, the calculation gives 7.3 g/cm³. The value obtained for the raw total energy is -5.054 eV per atom.

---

Computed, not measured: an optimized crystal structure of GaFe at the PBE-GGA level of DFT.

Cell: 3.470 3.470 3.470 Å, 60.00 60.00 60.00°
Atoms (fractional coordinates):
Ga: 0.000 0.000 0.000
Fe: 0.500 0.500 0.500

The space group is Fm-3m (225). For the mass density, the calculation gives 7.1 g/cm³. The value obtained for the raw total energy is -5.338 eV per atom.

---

Computed, not measured: an optimized crystal structure of GaFe2 at the PBE-GGA level of DFT.

Cell: 4.901 4.901 4.090 Å, 90.00 90.00 90.00°
Atoms (fractional coordinates):
Ga: 0.000 0.000 0.000
Ga: 0.500 0.500 0.500
Fe: 0.169 0.169 0.500
Fe: 0.331 0.669 0.000
Fe: 0.669 0.331 0.000
Fe: 0.831 0.831 0.500

The space group is P4_2/mnm (136). For the mass density, the calculation gives 6.1 g/cm³. The value obtained for the raw total energy is -5.745 eV per atom.

---

Computed, not measured: an optimized crystal structure of GaFe at the PBE-GGA level of DFT.

Cell: 3.906 3.906 3.906 Å, 60.00 60.00 60.00°
Atoms (fractional coordinates):
Ga: 0.000 0.000 0.000
Fe: 0.250 0.250 0.250

The space group is F-43m (216). For the mass density, the calculation gives 4.9 g/cm³. The value obtained for the raw total energy is -4.702 eV per atom.

---

Computed, not measured: an optimized crystal structure of Ga5Fe6 at the PBE-GGA level of DFT.

Cell: 6.378 6.378 7.670 Å, 104.28 104.28 76.55°
Atoms (fractional coordinates):
Ga: 0.131 0.131 0.600
Ga: 0.159 0.766 0.795
Ga: 0.234 0.841 0.205
Ga: 0.322 0.322 0.345
Ga: 0.377 0.377 0.019
Ga: 0.623 0.623 0.981
Ga: 0.678 0.678 0.655
Ga: 0.766 0.159 0.795
Ga: 0.841 0.234 0.205
Ga: 0.869 0.869 0.400
Fe: 0.000 0.500 0.500
Fe: 0.007 0.541 0.169
Fe: 0.130 0.130 0.013
Fe: 0.281 0.719 0.500
Fe: 0.397 0.397 0.690
Fe: 0.459 0.993 0.831
Fe: 0.500 0.000 0.500
Fe: 0.541 0.007 0.169
Fe: 0.603 0.603 0.310
Fe: 0.719 0.281 0.500
Fe: 0.870 0.870 0.987
Fe: 0.993 0.459 0.831

The space group is C2/m (12). For the mass density, the calculation gives 7.9 g/cm³. The value obtained for the raw total energy is -6.059 eV per atom.

---

Computed, not measured: an optimized crystal structure of Gd3Ga5Fe at the PBE-GGA level of DFT.

Cell: 6.959 6.959 4.254 Å, 90.00 90.00 120.00°
Atoms (fractional coordinates):
Gd: 0.000 0.404 0.000
Gd: 0.404 0.000 0.000
Gd: 0.596 0.596 0.000
Ga: 0.000 0.766 0.500
Ga: 0.234 0.234 0.500
Ga: 0.333 0.667 0.500
Ga: 0.667 0.333 0.500
Ga: 0.766 0.000 0.500
Fe: 0.000 0.000 0.000

The space group is P-62m (189). For the mass density, the calculation gives 8.2 g/cm³. The value obtained for the raw total energy is -4.693 eV per atom.

---

Computed, not measured: an optimized crystal structure of GdGaFe at the PBE-GGA level of DFT.

Cell: 3.998 3.998 7.258 Å, 90.00 90.00 90.00°
Atoms (fractional coordinates):
Gd: 0.250 0.250 0.174
Gd: 0.750 0.750 0.826
Ga: 0.250 0.250 0.708
Ga: 0.750 0.750 0.292
Fe: 0.250 0.750 0.500
Fe: 0.750 0.250 0.500

The space group is P4/nmm (129). For the mass density, the calculation gives 8.1 g/cm³. The value obtained for the raw total energy is -5.634 eV per atom.

---

Computed, not measured: an optimized crystal structure of GdGaFe at the PBE-GGA level of DFT.

Cell: 4.301 4.301 10.986 Å, 90.00 90.00 120.00°
Atoms (fractional coordinates):
Gd: 0.000 0.000 0.000
Gd: 0.000 0.000 0.334
Gd: 0.000 0.000 0.666
Ga: 0.333 0.667 0.170
Ga: 0.333 0.667 0.830
Ga: 0.667 0.333 0.500
Fe: 0.333 0.667 0.500
Fe: 0.667 0.333 0.164
Fe: 0.667 0.333 0.836

The space group is P-6m2 (187). For the mass density, the calculation gives 8.0 g/cm³. The value obtained for the raw total energy is -5.550 eV per atom.